Entry 1:
DFT (PBE-GGA) results for a relaxed structure of Pr2AlHg2.

abc: 11.4587 4.6403 11.4561
angles: 90.00 117.75 90.00
Last column: nearest neighbours and their distance in Å.
Space group C2/m (No. 12)
Inequivalent atoms, fractional coordinates:
Pr: 0.0081 0.0000 0.3375 x4  7 Hg 3.27-3.51, 4 Al 3.33-3.58
Pr: 0.1874 0.0000 0.1061 x4  6 Hg 3.19-3.44, 2 Al 3.43
Al: 0.2175 0.5000 0.3385 x4  4 Hg 2.71-2.97
Hg: 0.0282 0.5000 0.8810 x4  1 Al 2.77, 1 Hg 3.08
Hg: 0.1518 0.5000 0.5601 x4  3 Al 2.71-2.97

Fermi-level density of states ... 17.63 states/eV per cell
ΔE_f ... -0.43 eV/atom
Calculated total energy ... -64.2 eV for the cell shown

---

Entry 2:
DFT (PBE-GGA) results for a relaxed structure of Ca3MgIr.

abc: 12.5851 5.1524 8.9315
angles: 90.00 94.80 90.00
Last column: nearest neighbours and their distance in Å.
Space group C2/m (No. 12)
Inequivalent atoms, fractional coordinates:
Ca: 0.1131 0.0000 0.3628 x4  3 Ir 3.02-3.03, 1 Ca 3.18, 2 Mg 3.27
Ca: 0.1337 0.5000 0.6333 x4  3 Ir 2.92-3.04, 1 Ca 3.18
Ca: 0.1502 0.0000 0.9128 x4  1 Ir 2.86
Mg: 0.0789 0.5000 0.1376 x4  1 Ir 2.66
Ir: 0.2379 0.5000 0.3528 x4  1 Mg 2.66, 2 Ca 2.86-2.92

Fermi-level density of states ... 12.17 states/eV per cell
ΔE_f ... -0.20 eV/atom
Distance to the lowest polymorph of the same formula ... 0.0 kJ per mole of atoms
Calculated total energy ... -69.8 eV for the cell shown

---

Entry 3:
DFT (PBE-GGA) results for a relaxed structure of La5Ho2Tm.

abc: 5.7642 17.0202 11.5693
angles: 90.00 90.00 90.00
Last column: nearest neighbours and their distance in Å.
Space group Cmcm (No. 63)
Inequivalent atoms, fractional coordinates:
La: 0.0000 0.0482 0.1143 x8  4 La 3.11-3.45, 1 Tm 3.47
La: 0.0000 0.3884 0.7500 x4  4 La 3.45, 2 Ho 3.51, 2 Tm 3.52
La: 0.0000 0.4108 0.0863 x8  3 Ho 3.60-3.85, 1 Tm 3.61, 8 La 3.63-3.91
Ho: 0.0000 0.2162 0.5829 x8  5 La 3.51-3.85, 3 Tm 3.59-3.86, 3 Ho 3.65-3.87
Tm: 0.0000 0.2301 0.2500 x4  6 La 3.47-3.61, 6 Ho 3.59-3.86

Fermi-level density of states ... 48.42 states/eV per cell
ΔE_f ... 0.13 eV/atom
Distance to the lowest polymorph of the same formula ... 1.3 kJ per mole of atoms
Calculated total energy ... -148.9 eV for the cell shown

---

Entry 4:
DFT (PBE-GGA) results for a relaxed structure of TaHPt2.

abc: 6.5496 6.5496 4.9991
angles: 90.00 90.00 90.00
Last column: nearest neighbours and their distance in Å.
Space group I-42d (No. 122)
Inequivalent atoms, fractional coordinates:
Ta: 0.0000 0.0000 0.0000 x4  2 H 2.50, 4 Pt 2.68
H: 0.0000 0.0000 0.5000 x4  4 Pt 2.02
Pt: 0.1531 0.2500 0.6250 x8  2 H 2.02

Fermi-level density of states ... 1.08 states/eV per cell
Distance to the lowest polymorph of the same formula ... 0.0 kJ per mole of atoms
Calculated total energy ... -111.8 eV for the cell shown

---

Copy entry 1 word for word.
DFT (PBE-GGA) results for a relaxed structure of Pr2AlHg2.

abc: 11.4587 4.6403 11.4561
angles: 90.00 117.75 90.00
Last column: nearest neighbours and their distance in Å.
Space group C2/m (No. 12)
Inequivalent atoms, fractional coordinates:
Pr: 0.0081 0.0000 0.3375 x4  7 Hg 3.27-3.51, 4 Al 3.33-3.58
Pr: 0.1874 0.0000 0.1061 x4  6 Hg 3.19-3.44, 2 Al 3.43
Al: 0.2175 0.5000 0.3385 x4  4 Hg 2.71-2.97
Hg: 0.0282 0.5000 0.8810 x4  1 Al 2.77, 1 Hg 3.08
Hg: 0.1518 0.5000 0.5601 x4  3 Al 2.71-2.97

Fermi-level density of states ... 17.63 states/eV per cell
ΔE_f ... -0.43 eV/atom
Calculated total energy ... -64.2 eV for the cell shown

---

Among the records above, which one has the highest Fermi-level density of states?
La5Ho2Tm

---

Fermi-level density of states of number 2 (Ca3MgIr)?
12.17 states/eV per cell